{
  "formula": "Sm3Hg2Pd7",
  "functional": "PBE",
  "state": "optimized geometry",
  "delta_e_f_ev_per_atom": -0.585,
  "density_g_cm3": 10.51,
  "lattice_angstrom": [[4.188, 0.000, 0.000], [0.000, 4.020, 0.000], [-2.083, 0.000, 14.996]],
  "species": ["Sm", "Sm", "Sm", "Hg", "Hg", "Pd", "Pd", "Pd", "Pd", "Pd", "Pd", "Pd"],
  "frac_coords": [[0.000, 0.000, 0.000], [0.310, 0.500, 0.619], [0.690, 0.500, 0.381], [0.132, 0.000, 0.265], [0.868, 0.000, 0.735], [0.070, 0.500, 0.139], [0.223, 0.000, 0.445], [0.429, 0.000, 0.858], [0.500, 0.500, 0.000], [0.571, 0.000, 0.142], [0.777, 0.000, 0.555], [0.930, 0.500, 0.861]]
}



{
  "formula": "Sm2Hg3Pd8",
  "functional": "PBE",
  "state": "optimized geometry",
  "delta_e_f_ev_per_atom": -0.271,
  "density_g_cm3": 10.53,
  "lattice_angstrom": [[2.667, 1.540, 11.225], [-2.667, 1.540, 11.225], [0.000, -3.080, 11.225]],
  "species": ["Sm", "Sm", "Hg", "Hg", "Hg", "Pd", "Pd", "Pd", "Pd", "Pd", "Pd", "Pd", "Pd"],
  "frac_coords": [[0.106, 0.106, 0.106], [0.894, 0.894, 0.894], [0.272, 0.272, 0.272], [0.500, 0.500, 0.500], [0.728, 0.728, 0.728], [0.188, 0.188, 0.188], [0.203, 0.203, 0.696], [0.203, 0.696, 0.203], [0.304, 0.797, 0.797], [0.696, 0.203, 0.203], [0.797, 0.304, 0.797], [0.797, 0.797, 0.304], [0.812, 0.812, 0.812]]
}



{
  "formula": "Sm3HgPd",
  "functional": "PBE",
  "state": "optimized geometry",
  "delta_e_f_ev_per_atom": -0.375,
  "density_g_cm3": 8.37,
  "de_polymorph_ev_per_atom": 0.060,
  "lattice_angstrom": [[5.015, -7.567, 0.000], [5.015, 7.567, 0.000], [0.000, 0.000, 3.961]],
  "species": ["Sm", "Sm", "Sm", "Sm", "Sm", "Sm", "Hg", "Hg", "Pd", "Pd"],
  "frac_coords": [[0.165, 0.835, 0.000], [0.190, 0.422, 0.500], [0.422, 0.190, 0.500], [0.578, 0.810, 0.500], [0.810, 0.578, 0.500], [0.835, 0.165, 0.000], [0.000, 0.000, 0.500], [0.500, 0.500, 0.000], [0.000, 0.500, 0.000], [0.500, 0.000, 0.000]]
}



{
  "formula": "Sm3Hg2Pd6",
  "functional": "PBE",
  "state": "optimized geometry",
  "delta_e_f_ev_per_atom": -0.492,
  "density_g_cm3": 10.24,
  "lattice_angstrom": [[-1.966, 1.966, 15.632], [1.966, -1.966, 15.632], [1.966, 1.966, -15.632]],
  "species": ["Sm", "Sm", "Sm", "Hg", "Hg", "Pd", "Pd", "Pd", "Pd", "Pd", "Pd"],
  "frac_coords": [[0.000, 0.000, 0.000], [0.184, 0.184, 0.000], [0.816, 0.816, 0.000], [0.368, 0.368, 0.000], [0.632, 0.632, 0.000], [0.069, 0.569, 0.500], [0.276, 0.276, 0.000], [0.431, 0.931, 0.500], [0.569, 0.069, 0.500], [0.724, 0.724, 0.000], [0.931, 0.431, 0.500]]
}



{
  "formula": "SmHg2Pd5",
  "functional": "PBE",
  "state": "optimized geometry",
  "delta_e_f_ev_per_atom": -0.401,
  "density_g_cm3": 11.23,
  "de_polymorph_ev_per_atom": 0.057,
  "lattice_angstrom": [[-2.095, 2.937, 6.509], [2.095, -2.937, 6.509], [2.095, 2.937, -6.509]],
  "species": ["Sm", "Hg", "Hg", "Pd", "Pd", "Pd", "Pd", "Pd"],
  "frac_coords": [[0.000, 0.000, 0.000], [0.283, 0.783, 0.500], [0.717, 0.217, 0.500], [0.153, 0.393, 0.760], [0.367, 0.607, 0.760], [0.500, 0.000, 0.500], [0.633, 0.393, 0.240], [0.847, 0.607, 0.240]]
}



{
  "formula": "SmHgPd2",
  "functional": "PBE",
  "state": "optimized geometry",
  "delta_e_f_ev_per_atom": -0.572,
  "density_g_cm3": 11.41,
  "lattice_angstrom": [[3.651, 0.000, 0.000], [0.000, 3.651, 0.000], [0.000, 0.000, 6.152]],
  "species": ["Sm", "Hg", "Pd", "Pd"],
  "frac_coords": [[0.000, 0.000, 0.000], [0.000, 0.000, 0.500], [0.500, 0.500, 0.261], [0.500, 0.500, 0.739]]
}



{
  "formula": "SmHgPd",
  "functional": "PBE",
  "state": "optimized geometry",
  "delta_e_f_ev_per_atom": -0.668,
  "density_g_cm3": 10.94,
  "de_polymorph_ev_per_atom": 0.029,
  "lattice_angstrom": [[5.194, -2.031, 0.000], [5.194, 2.031, 0.000], [-3.978, 0.000, 6.581]],
  "species": ["Sm", "Sm", "Hg", "Hg", "Pd", "Pd"],
  "frac_coords": [[0.056, 0.056, 0.311], [0.944, 0.944, 0.689], [0.332, 0.332, 0.926], [0.668, 0.668, 0.074], [0.355, 0.355, 0.344], [0.645, 0.645, 0.656]]
}



{
  "formula": "SmHg3Pd6",
  "functional": "PBE",
  "state": "optimized geometry",
  "delta_e_f_ev_per_atom": -0.342,
  "density_g_cm3": 12.28,
  "lattice_angstrom": [[9.340, 0.000, 0.000], [0.000, 4.389, 0.000], [-2.288, 0.000, 9.177]],
  "species": ["Sm", "Sm", "Hg", "Hg", "Hg", "Hg", "Hg", "Hg", "Pd", "Pd", "Pd", "Pd", "Pd", "Pd", "Pd", "Pd", "Pd", "Pd", "Pd", "Pd"],
  "frac_coords": [[0.224, 0.250, 0.231], [0.776, 0.750, 0.769], [0.098, 0.750, 0.715], [0.308, 0.250, 0.854], [0.388, 0.750, 0.557], [0.612, 0.250, 0.443], [0.692, 0.750, 0.146], [0.902, 0.250, 0.285], [0.028, 0.250, 0.915], [0.086, 0.750, 0.394], [0.199, 0.250, 0.555], [0.252, 0.750, 0.029], [0.463, 0.750, 0.291], [0.496, 0.250, 0.120], [0.504, 0.750, 0.880], [0.537, 0.250, 0.709], [0.748, 0.250, 0.971], [0.801, 0.750, 0.445], [0.914, 0.250, 0.606], [0.972, 0.750, 0.085]]
}



{
  "formula": "SmHgPd",
  "functional": "PBE",
  "state": "optimized geometry",
  "delta_e_f_ev_per_atom": -0.631,
  "density_g_cm3": 11.24,
  "de_polymorph_ev_per_atom": 0.066,
  "lattice_angstrom": [[-1.895, 1.895, 4.706], [1.895, -1.895, 4.706], [1.895, 1.895, -4.706]],
  "species": ["Sm", "Hg", "Pd"],
  "frac_coords": [[0.000, 0.000, 0.000], [0.677, 0.677, 0.000], [0.343, 0.343, 0.000]]
}



{
  "formula": "Sm3HgPd2",
  "functional": "PBE",
  "state": "optimized geometry",
  "delta_e_f_ev_per_atom": -0.564,
  "density_g_cm3": 8.76,
  "lattice_angstrom": [[3.793, 2.190, 6.572], [-3.793, 2.190, 6.572], [0.000, -4.380, 6.572]],
  "species": ["Sm", "Sm", "Sm", "Sm", "Sm", "Sm", "Hg", "Hg", "Pd", "Pd", "Pd", "Pd"],
  "frac_coords": [[0.038, 0.750, 0.462], [0.250, 0.538, 0.962], [0.462, 0.038, 0.750], [0.538, 0.962, 0.250], [0.750, 0.462, 0.038], [0.962, 0.250, 0.538], [0.000, 0.000, 0.000], [0.500, 0.500, 0.500], [0.147, 0.147, 0.147], [0.353, 0.353, 0.353], [0.647, 0.647, 0.647], [0.853, 0.853, 0.853]]
}



{
  "formula": "Sm6Hg3Pd",
  "functional": "PBE",
  "state": "optimized geometry",
  "delta_e_f_ev_per_atom": -0.407,
  "density_g_cm3": 9.60,
  "lattice_angstrom": [[9.559, 0.000, 0.000], [0.000, 5.217, 0.000], [-3.997, 0.000, 11.166]],
  "species": ["Sm", "Sm", "Sm", "Sm", "Sm", "Sm", "Sm", "Sm", "Sm", "Sm", "Sm", "Sm", "Hg", "Hg", "Hg", "Hg", "Hg", "Hg", "Pd", "Pd"],
  "frac_coords": [[0.017, 0.250, 0.403], [0.158, 0.750, 0.188], [0.236, 0.250, 0.011], [0.376, 0.250, 0.352], [0.381, 0.750, 0.858], [0.389, 0.250, 0.638], [0.611, 0.750, 0.362], [0.619, 0.250, 0.142], [0.624, 0.750, 0.648], [0.764, 0.750, 0.989], [0.842, 0.250, 0.812], [0.983, 0.750, 0.597], [0.036, 0.750, 0.877], [0.128, 0.250, 0.728], [0.268, 0.750, 0.478], [0.732, 0.250, 0.522], [0.872, 0.750, 0.272], [0.964, 0.250, 0.123], [0.421, 0.750, 0.116], [0.579, 0.250, 0.884]]
}



{
  "formula": "Sm4HgPd",
  "functional": "PBE",
  "state": "optimized geometry",
  "delta_e_f_ev_per_atom": -0.258,
  "density_g_cm3": 7.87,
  "de_polymorph_ev_per_atom": 0.203,
  "lattice_angstrom": [[7.311, 0.000, 0.000], [0.000, 7.351, 0.000], [-0.479, 0.000, 7.132]],
  "species": ["Sm", "Sm", "Sm", "Sm", "Sm", "Sm", "Sm", "Sm", "Hg", "Hg", "Pd", "Pd"],
  "frac_coords": [[0.150, 0.159, 0.176], [0.150, 0.341, 0.676], [0.333, 0.649, 0.125], [0.333, 0.851, 0.625], [0.667, 0.149, 0.375], [0.667, 0.351, 0.875], [0.850, 0.659, 0.324], [0.850, 0.841, 0.824], [0.500, 0.000, 0.000], [0.500, 0.500, 0.500], [0.000, 0.000, 0.500], [0.000, 0.500, 0.000]]
}



{
  "formula": "SmHgPd",
  "functional": "PBE",
  "state": "optimized geometry",
  "delta_e_f_ev_per_atom": -0.698,
  "density_g_cm3": 11.13,
  "de_polymorph_ev_per_atom": 0.000,
  "lattice_angstrom": [[7.757, 0.000, 0.000], [-3.879, 6.718, 0.000], [0.000, 0.000, 3.930]],
  "species": ["Sm", "Sm", "Sm", "Hg", "Hg", "Hg", "Pd", "Pd", "Pd"],
  "frac_coords": [[0.000, 0.601, 0.000], [0.399, 0.399, 0.000], [0.601, 0.000, 0.000], [0.000, 0.265, 0.500], [0.265, 0.000, 0.500], [0.735, 0.735, 0.500], [0.000, 0.000, 0.000], [0.333, 0.667, 0.500], [0.667, 0.333, 0.500]]
}



{
  "formula": "Sm4HgPd2",
  "functional": "PBE",
  "state": "optimized geometry",
  "delta_e_f_ev_per_atom": -0.462,
  "density_g_cm3": 8.48,
  "lattice_angstrom": [[2.397, 1.384, 9.978], [-2.397, 1.384, 9.978], [0.000, -2.768, 9.978]],
  "species": ["Sm", "Sm", "Sm", "Sm", "Hg", "Pd", "Pd"],
  "frac_coords": [[0.115, 0.115, 0.115], [0.298, 0.298, 0.298], [0.702, 0.702, 0.702], [0.885, 0.885, 0.885], [0.500, 0.500, 0.500], [0.401, 0.401, 0.401], [0.599, 0.599, 0.599]]
}



{
  "formula": "Sm4HgPd7",
  "functional": "PBE",
  "state": "optimized geometry",
  "delta_e_f_ev_per_atom": -0.587,
  "density_g_cm3": 9.65,
  "lattice_angstrom": [[5.393, -2.667, 0.000], [5.393, 2.667, 0.000], [-5.169, 0.000, 9.253]],
  "species": ["Sm", "Sm", "Sm", "Sm", "Hg", "Pd", "Pd", "Pd", "Pd", "Pd", "Pd", "Pd"],
  "frac_coords": [[0.099, 0.099, 0.292], [0.294, 0.294, 0.872], [0.706, 0.706, 0.128], [0.901, 0.901, 0.708], [0.500, 0.500, 0.500], [0.000, 0.000, 0.500], [0.132, 0.132, 0.021], [0.291, 0.291, 0.598], [0.423, 0.423, 0.190], [0.577, 0.577, 0.810], [0.709, 0.709, 0.402], [0.868, 0.868, 0.979]]
}



{
  "formula": "Sm2Hg3Pd4",
  "functional": "PBE",
  "state": "optimized geometry",
  "delta_e_f_ev_per_atom": -0.560,
  "density_g_cm3": 12.04,
  "de_polymorph_ev_per_atom": 0.000,
  "lattice_angstrom": [[4.556, 0.000, 0.000], [2.277, 4.493, 0.000], [0.014, 1.578, 8.952]],
  "species": ["Sm", "Sm", "Hg", "Hg", "Hg", "Pd", "Pd", "Pd", "Pd"],
  "frac_coords": [[0.169, 0.161, 0.221], [0.831, 0.839, 0.779], [0.161, 0.181, 0.575], [0.500, 0.500, 0.000], [0.839, 0.819, 0.425], [0.168, 0.165, 0.898], [0.493, 0.517, 0.661], [0.507, 0.483, 0.339], [0.832, 0.835, 0.102]]
}



{
  "formula": "SmHgPd3",
  "functional": "PBE",
  "state": "optimized geometry",
  "delta_e_f_ev_per_atom": -0.317,
  "density_g_cm3": 9.49,
  "lattice_angstrom": [[5.695, -4.477, 0.000], [5.695, 4.477, 0.000], [0.000, 0.000, 9.202]],
  "species": ["Sm", "Sm", "Sm", "Sm", "Hg", "Hg", "Hg", "Hg", "Pd", "Pd", "Pd", "Pd", "Pd", "Pd", "Pd", "Pd", "Pd", "Pd", "Pd", "Pd"],
  "frac_coords": [[0.016, 0.984, 0.750], [0.409, 0.591, 0.250], [0.591, 0.409, 0.750], [0.984, 0.016, 0.250], [0.000, 0.500, 0.000], [0.000, 0.500, 0.500], [0.500, 0.000, 0.000], [0.500, 0.000, 0.500], [0.178, 0.573, 0.750], [0.209, 0.791, 0.003], [0.209, 0.791, 0.497], [0.377, 0.377, 0.000], [0.377, 0.377, 0.500], [0.427, 0.822, 0.750], [0.573, 0.178, 0.250], [0.623, 0.623, 0.000], [0.623, 0.623, 0.500], [0.791, 0.209, 0.503], [0.791, 0.209, 0.997], [0.822, 0.427, 0.250]]
}



{
  "formula": "Sm2Hg3Pd4",
  "functional": "PBE",
  "state": "optimized geometry",
  "delta_e_f_ev_per_atom": -0.528,
  "density_g_cm3": 11.51,
  "de_polymorph_ev_per_atom": 0.032,
  "lattice_angstrom": [[2.921, -8.780, 0.000], [2.921, 8.780, 0.000], [0.000, 0.000, 7.472]],
  "species": ["Sm", "Sm", "Sm", "Sm", "Hg", "Hg", "Hg", "Hg", "Hg", "Hg", "Pd", "Pd", "Pd", "Pd", "Pd", "Pd", "Pd", "Pd"],
  "frac_coords": [[0.106, 0.894, 0.916], [0.394, 0.606, 0.416], [0.606, 0.394, 0.584], [0.894, 0.106, 0.084], [0.000, 0.000, 0.500], [0.012, 0.488, 0.750], [0.488, 0.012, 0.250], [0.500, 0.500, 0.000], [0.512, 0.988, 0.750], [0.988, 0.512, 0.250], [0.158, 0.842, 0.529], [0.174, 0.326, 0.750], [0.326, 0.174, 0.250], [0.342, 0.658, 0.029], [0.658, 0.342, 0.971], [0.674, 0.826, 0.750], [0.826, 0.674, 0.250], [0.842, 0.158, 0.471]]
}



{
  "formula": "Sm3HgPd3",
  "functional": "PBE",
  "state": "optimized geometry",
  "delta_e_f_ev_per_atom": -0.517,
  "density_g_cm3": 8.43,
  "lattice_angstrom": [[8.814, 0.000, 0.000], [-4.407, 7.633, 0.000], [0.000, 0.000, 5.684]],
  "species": ["Sm", "Sm", "Sm", "Sm", "Sm", "Sm", "Hg", "Hg", "Pd", "Pd", "Pd", "Pd", "Pd", "Pd"],
  "frac_coords": [[0.046, 0.374, 0.250], [0.328, 0.954, 0.250], [0.374, 0.328, 0.750], [0.626, 0.672, 0.250], [0.672, 0.046, 0.750], [0.954, 0.626, 0.750], [0.333, 0.667, 0.750], [0.667, 0.333, 0.250], [0.032, 0.331, 0.750], [0.299, 0.968, 0.750], [0.331, 0.299, 0.250], [0.669, 0.701, 0.750], [0.701, 0.032, 0.250], [0.968, 0.669, 0.250]]
}



{
  "formula": "SmHg4Pd2",
  "functional": "PBE",
  "state": "optimized geometry",
  "delta_e_f_ev_per_atom": -0.275,
  "density_g_cm3": 12.11,
  "lattice_angstrom": [[2.233, -9.379, 0.000], [2.233, 9.379, 0.000], [0.000, 0.000, 3.814]],
  "species": ["Sm", "Hg", "Hg", "Hg", "Hg", "Pd", "Pd"],
  "frac_coords": [[0.000, 0.000, 0.000], [0.157, 0.843, 0.500], [0.307, 0.693, 0.000], [0.693, 0.307, 0.000], [0.843, 0.157, 0.500], [0.430, 0.570, 0.500], [0.570, 0.430, 0.500]]
}



no.,M_tot (μB/f.u.)
1,0.00
2,0.00
3,0.00
4,0.00
5,0.00
6,0.00
7,0.00
8,0.00
9,0.00
10,0.00
11,0.00
12,0.00
13,0.00
14,0.00
15,0.00
16,0.00
17,0.00
18,0.00
19,0.00
20,0.00